(1)
8
Lattice="7.169 0.000 0.000 0.000 7.169 0.000 3.585 3.585 5.070" Properties=species:S:1:pos:R:3 comment="PBE CsSc2F, relaxed" de_polymorph_ev_per_fu=0.084 formation_energy_uncorrected_ev_per_atom=-0.621 m_tot_mub_per_fu=0.98 spacegroup=Fd-3m pbc="T T T"
Sc 8.962 7.172 3.802
Sc 3.582 5.377 1.267
Sc 5.377 7.166 3.802
Sc 3.588 1.792 1.267
Cs 0.000 0.000 0.000
F 3.585 3.585 0.000
F 3.585 7.169 2.535
Cs 7.169 3.585 2.535


(2)
10
Lattice="7.254 0.000 0.000 0.000 7.254 0.000 3.627 3.627 4.141" Properties=species:S:1:pos:R:3 comment="PBE Cs2ScSeF6, relaxed" formation_energy_uncorrected_ev_per_atom=-2.748 m_tot_mub_per_fu=1.00 spacegroup=I4/mmm pbc="T T T"
Cs 7.254 3.627 2.071
Sc 3.627 3.627 0.000
F 2.213 5.041 0.000
F 5.041 2.213 0.000
F 2.213 2.213 0.000
Se 0.000 0.000 0.000
F 5.041 5.041 0.000
F 3.627 3.627 2.123
Cs 3.627 7.254 2.071
F 7.254 7.254 2.019


(3)
10
Lattice="-5.442 0.356 2.460 -0.792 -5.861 -0.904 -0.845 -3.859 5.963" Properties=species:S:1:pos:R:3 comment="PBE Cs2ScSiF6, relaxed" formation_energy_uncorrected_ev_per_atom=-2.829 m_tot_mub_per_fu=1.00 spacegroup=I4/mmm pbc="T T T"
F -1.923 -4.348 -0.085
F -4.311 -1.156 1.642
Si -3.117 -2.752 0.778
F -1.516 -1.339 0.379
F -4.717 -4.166 1.178
Cs -4.702 -3.127 4.601
F -5.441 -5.891 3.367
Cs -2.377 -6.236 2.919
Sc 0.000 0.000 0.000
F -1.638 -3.472 4.153


(4)
12
Lattice="5.512 0.171 -0.257 0.184 5.307 -0.102 -0.434 -0.137 8.320" Properties=species:S:1:pos:R:3 comment="PBE CsScSn2F8, relaxed" formation_energy_uncorrected_ev_per_atom=-2.931 m_tot_mub_per_fu=0.00 spacegroup=P-1 pbc="T T T"
Sn 2.553 2.676 6.253
F 3.785 3.998 7.449
Sc 0.000 0.000 0.000
F 3.249 3.760 4.641
Sn 2.710 2.665 1.709
F 4.277 0.993 1.139
F 4.445 1.318 6.598
F 0.986 4.348 6.823
Cs -0.217 -0.069 4.160
F 0.817 4.022 1.364
F 2.013 1.581 3.320
F 1.478 1.343 0.513


(5)
9
Lattice="6.100 0.030 0.016 3.075 5.266 -0.005 0.007 -0.006 5.952" Properties=species:S:1:pos:R:3 comment="PBE CsScSnF6, relaxed" formation_energy_uncorrected_ev_per_atom=-3.154 m_tot_mub_per_fu=0.00 spacegroup=P1 pbc="T T T"
F 3.431 0.017 1.818
Sn 6.124 3.521 3.205
F 4.404 2.926 1.800
F 4.702 1.508 4.047
F 2.448 3.358 3.979
F 1.987 0.472 4.010
F 1.380 2.301 1.790
Sc 3.068 1.765 2.940
Cs 3.080 5.262 0.245


(6)
12
Lattice="4.506 -0.446 0.000 -0.439 5.735 -0.005 0.004 0.008 8.160" Properties=species:S:1:pos:R:3 comment="PBE CsSr2ScF8, relaxed" formation_energy_uncorrected_ev_per_atom=-3.668 m_tot_mub_per_fu=0.00 spacegroup=P2/m pbc="T T T"
F 1.774 1.066 -0.001
F 2.461 1.455 4.079
F 1.609 3.843 4.076
F 2.296 4.231 8.156
Cs 0.002 0.004 4.080
F 4.158 0.956 6.665
F -0.088 4.342 1.490
F 4.154 0.950 1.492
Sr 2.035 2.651 6.170
F -0.084 4.348 6.663
Sr 2.035 2.646 1.985
Sc 0.000 0.000 0.000


(7)
20
Lattice="-1.108 -0.549 6.300 -2.262 -6.179 -0.936 8.641 -3.350 1.227" Properties=species:S:1:pos:R:3 comment="PBE Cs2SrScF6, relaxed" formation_energy_uncorrected_ev_per_atom=-3.250 m_tot_mub_per_fu=0.83 spacegroup=Pmmn pbc="T T T"
F 2.408 -5.087 4.761
Sr -1.120 -1.821 2.915
F 0.359 -5.433 -0.410
F -1.416 -3.295 0.974
F 3.995 -1.895 2.300
F 3.484 -2.148 5.205
F -2.012 -3.590 4.366
F 4.887 -7.188 0.233
F 5.258 -4.290 3.822
Sc 3.202 -3.492 3.530
F -2.491 -6.233 0.528
F 2.920 -4.834 1.853
Sc -1.698 -4.637 -0.702
Cs 4.264 -7.435 3.373
F -3.088 -6.529 3.922
Cs 1.629 -2.395 0.078
Cs 5.881 -4.043 0.682
Cs -0.125 -5.734 2.750
Sr 2.624 -6.307 -0.088
F 1.145 -2.695 3.237


(8)
18
Lattice="8.210 0.000 0.000 0.000 7.967 0.000 -4.105 -3.983 5.416" Properties=species:S:1:pos:R:3 comment="PBE CsSrScF6, relaxed" formation_energy_uncorrected_ev_per_atom=-3.706 m_tot_mub_per_fu=0.14 spacegroup=Imma pbc="T T T"
F -1.422 0.123 3.991
Cs 0.000 1.992 1.605
F 1.422 0.123 3.991
Sc 4.105 0.000 0.000
F 2.683 0.123 1.425
Cs 4.105 1.992 3.811
Sr 2.052 -1.992 2.708
F 0.000 5.975 1.507
F 4.105 5.975 0.484
F -1.422 3.861 3.991
Sr -2.052 -1.992 2.708
F 4.105 -1.992 3.909
F 5.527 0.123 1.425
F 0.000 -1.992 4.932
F 2.683 3.861 1.425
F 5.527 3.861 1.425
Sc 4.105 3.983 0.000
F 1.422 3.861 3.991


(9)
18
Lattice="-7.017 -3.794 -0.248 -0.369 -7.906 1.022 -3.176 -3.083 6.641" Properties=species:S:1:pos:R:3 comment="PBE Cs2Sc3TlF12, relaxed" formation_energy_uncorrected_ev_per_atom=-3.507 m_tot_mub_per_fu=0.00 spacegroup=R-3m pbc="T T T"
F -4.400 -3.439 0.754
F -6.161 -11.344 6.661
Sc -3.508 -1.897 -0.124
Tl 0.000 0.000 0.000
F -7.894 -11.665 3.552
Sc -0.184 -3.953 0.511
F -3.196 -8.248 5.484
F -4.960 -6.090 6.245
Cs -6.591 -9.226 4.628
F -2.667 -3.118 3.863
F -9.161 -9.488 6.088
Cs -3.970 -5.557 2.787
Sc -1.588 -1.541 3.320
F -7.359 -5.672 4.689
F -1.400 -5.295 1.327
F -3.202 -9.110 2.726
F -7.366 -6.535 1.931
F -5.601 -8.693 1.170